Entry 1:
## Dy6Ge2BiS3 (PBE)

Data for a relaxed Dy6Ge2BiS3 crystal.

a b c (Å): 9.141 9.141 8.212
angles (deg): 102.06 102.06 25.98
Positions (direct):
Dy: 0.003 0.003 0.271
Dy: 0.325 0.325 0.905
Dy: 0.332 0.332 0.417
Dy: 0.668 0.668 0.583
Dy: 0.675 0.675 0.095
Dy: 0.997 0.997 0.729
Ge: 0.167 0.167 0.335
Ge: 0.833 0.833 0.665
Bi: 0.500 0.500 0.000
S: 0.165 0.165 0.834
S: 0.500 0.500 0.500
S: 0.835 0.835 0.166

Results
Calculated density ... 8.06 Mg/m³
Calculated volume ... 293.6 Å³ per cell
Formation energy without anion corrections ... -136.72 kJ per mole of atoms
SG ... No. 12

***

Entry 2:
## As2SeSCl (PBE)

Data for a relaxed As2SeSCl crystal.

a b c (Å): 5.037 5.037 4.682
angles (deg): 90.00 90.00 90.00
Positions (direct):
As: 0.000 0.500 0.000
As: 0.500 0.000 0.000
Se: 0.000 0.000 0.500
S: 0.500 0.500 0.500
Cl: 0.000 0.000 0.000

Results
Calculated density ... 4.14 Mg/m³
Energy above the most stable polymorph in this dataset ... 617.6 meV per atom
Calculated volume ... 118.8 Å³ per cell
Formation energy without anion corrections ... 127.78 kJ per mole of atoms
SG ... No. 123